Record 1
Below is a relaxed structure of ErTmCd, with properties calculated at the GGA-PBE level.

CIF file:
```
data_ErTmCd
_symmetry_space_group_name_H-M 'P 3 m 1'
_symmetry_Int_Tables_number 156
_cell_length_a 5.2123
_cell_length_b 5.2123
_cell_length_c 3.4843
_cell_angle_alpha 90.00
_cell_angle_beta 90.00
_cell_angle_gamma 120.00
loop_
_symmetry_equiv_pos_as_xyz
'x,y,z'
'-y,x-y,z'
'-x+y,-x,z'
'-y,-x,z'
'-x+y,y,z'
'x,x-y,z'
loop_
_atom_site_label
_atom_site_fract_x
_atom_site_fract_y
_atom_site_fract_z
_atom_site_occupancy
Er1 0.0000 0.0000 0.0000 1
Tm1 0.3333 0.6667 0.5542 1
Cd1 0.6667 0.3333 0.2906 1
```

Properties
total magnetic moment	0.0000	μB/atom
DFT formation energy	-72	meV per atom
ΔE to the lowest computed polymorph	0.116	eV/atom
density of states at the Fermi level	1.11	states/eV per atom
raw total energy	-3.388	eV/atom


Record 2
Below is a relaxed structure of Na2Pt3O8, with properties calculated at the GGA-PBE level.

CIF file:
```
data_Na2Pt3O8
_symmetry_space_group_name_H-M 'C 1 2/m 1'
_symmetry_Int_Tables_number 12
_cell_length_a 11.3067
_cell_length_b 6.2841
_cell_length_c 5.3237
_cell_angle_alpha 90.00
_cell_angle_beta 109.01
_cell_angle_gamma 90.00
loop_
_symmetry_equiv_pos_as_xyz
'x,y,z'
'-x,-y,-z'
'-x,y,-z'
'x,-y,z'
'x+1/2,y+1/2,z'
'-x+1/2,-y+1/2,-z'
'-x+1/2,y+1/2,-z'
'x+1/2,-y+1/2,z'
loop_
_atom_site_label
_atom_site_fract_x
_atom_site_fract_y
_atom_site_fract_z
_atom_site_occupancy
Na1 0.2184 0.0000 0.1457 1
Pt1 0.0000 0.2442 0.5000 1
Pt2 0.0000 0.5000 0.0000 1
O1 0.0951 0.5000 0.4034 1
O2 0.0989 0.2772 0.8860 1
O3 0.0997 0.0000 0.4423 1
```

Properties
total magnetic moment	0.1511	μB/atom
density of states at the Fermi level	0.45	states/eV per atom
raw total energy	-5.429	eV/atom


Record 3
Below is a relaxed structure of Na2ScZn3F12, with properties calculated at the GGA-PBE level.

CIF file:
```
data_Na2ScZn3F12
_symmetry_space_group_name_H-M 'R -3 m'
_symmetry_Int_Tables_number 166
_symmetry_space_group_name_Hall '-R 3 2"'
_cell_length_a 7.3369
_cell_length_b 7.3369
_cell_length_c 19.1904
_cell_angle_alpha 90.00
_cell_angle_beta 90.00
_cell_angle_gamma 120.00
loop_
_atom_site_label
_atom_site_fract_x
_atom_site_fract_y
_atom_site_fract_z
_atom_site_occupancy
Na1 0.0000 0.0000 0.2112 1
Sc1 0.0000 0.0000 0.5000 1
Zn1 0.0000 0.5000 0.0000 1
F1 0.0648 0.5324 0.1077 1
F2 0.0847 0.5424 0.3580 1
```

Properties
total magnetic moment	0.0000	μB/atom
density of states at the Fermi level	0.26	states/eV per atom
raw total energy	-4.585	eV/atom


Record 4
Below is a relaxed structure of Tb4Sm2Y, with properties calculated at the GGA-PBE level.

CIF file:
```
data_Tb4Sm2Y
_symmetry_space_group_name_H-M 'C c c m'
_symmetry_Int_Tables_number 66
_symmetry_space_group_name_Hall '-C 2 2c'
_cell_length_a 8.6526
_cell_length_b 10.8332
_cell_length_c 10.3642
_cell_angle_alpha 90.00
_cell_angle_beta 90.00
_cell_angle_gamma 90.00
loop_
_atom_site_label
_atom_site_fract_x
_atom_site_fract_y
_atom_site_fract_z
_atom_site_occupancy
Tb1 0.2030 0.9999 0.0000 1
Tb2 0.2500 0.2500 0.2504 1
Sm1 0.0007 0.2935 0.0000 1
Y1 0.0000 0.5000 0.2500 1
```

Properties
total magnetic moment	0.0000	μB/atom
DFT formation energy	229	meV per atom
ΔE to the lowest computed polymorph	0.183	eV/atom
density of states at the Fermi level	1.24	states/eV per atom
raw total energy	-4.689	eV/atom


Record 5
Below is a relaxed structure of Sm8TlCd2, with properties calculated at the GGA-PBE level.

CIF file:
```
data_Sm8TlCd2
_symmetry_space_group_name_H-M 'C 1 2/m 1'
_symmetry_Int_Tables_number 12
_cell_length_a 16.6393
_cell_length_b 5.4420
_cell_length_c 8.7278
_cell_angle_alpha 90.00
_cell_angle_beta 121.03
_cell_angle_gamma 90.00
loop_
_symmetry_equiv_pos_as_xyz
'x,y,z'
'-x,-y,-z'
'-x,y,-z'
'x,-y,z'
'x+1/2,y+1/2,z'
'-x+1/2,-y+1/2,-z'
'-x+1/2,y+1/2,-z'
'x+1/2,-y+1/2,z'
loop_
_atom_site_label
_atom_site_fract_x
_atom_site_fract_y
_atom_site_fract_z
_atom_site_occupancy
Sm1 0.0692 0.0000 0.2200 1
Sm2 0.0923 0.5000 0.9514 1
Sm3 0.1391 0.0000 0.6886 1
Sm4 0.1816 0.5000 0.4499 1
Tl1 0.0000 0.5000 0.5000 1
Cd1 0.2262 0.0000 0.1152 1
```

Properties
total magnetic moment	0.0000	μB/atom
DFT formation energy	-176	meV per atom
density of states at the Fermi level	0.96	states/eV per atom
raw total energy	-3.990	eV/atom


Record 6
Below is a relaxed structure of PmAl2AsO8, with properties calculated at the GGA-PBE level.

CIF file:
```
data_PmAl2AsO8
_symmetry_space_group_name_H-M 'P -1'
_symmetry_Int_Tables_number 2
_cell_length_a 4.3474
_cell_length_b 4.4183
_cell_length_c 6.9822
_cell_angle_alpha 93.93
_cell_angle_beta 90.10
_cell_angle_gamma 91.45
loop_
_symmetry_equiv_pos_as_xyz
'x,y,z'
'-x,-y,-z'
loop_
_atom_site_label
_atom_site_fract_x
_atom_site_fract_y
_atom_site_fract_z
_atom_site_occupancy
Pm1 0.0000 0.0000 0.0000 1
Al1 0.4916 0.5208 0.6855 1
As1 0.0000 0.0000 0.5000 1
O1 0.1929 0.1861 0.3005 1
O2 0.1962 0.2203 0.7164 1
O3 0.2983 0.7090 0.4971 1
O4 0.4804 0.6457 0.9507 1
```

Properties
total magnetic moment	0.0000	μB/atom
density of states at the Fermi level	0.00	states/eV per atom
raw total energy	-6.834	eV/atom


Record 7
Below is a relaxed structure of Y7Al2Tl2, with properties calculated at the GGA-PBE level.

CIF file:
```
data_Y7Al2Tl2
_symmetry_space_group_name_H-M 'C m m m'
_symmetry_Int_Tables_number 65
_symmetry_space_group_name_Hall '-C 2 2'
_cell_length_a 7.7535
_cell_length_b 11.0795
_cell_length_c 7.7850
_cell_angle_alpha 90.00
_cell_angle_beta 90.00
_cell_angle_gamma 90.00
loop_
_atom_site_label
_atom_site_fract_x
_atom_site_fract_y
_atom_site_fract_z
_atom_site_occupancy
Y1 0.0000 0.0000 0.0000 1
Y2 0.0000 0.5000 0.2795 1
Y3 0.2500 0.2500 0.2940 1
Al1 0.1688 0.0000 0.5000 1
Tl1 0.0000 0.2963 0.0000 1
```

Properties
total magnetic moment	0.0000	μB/atom
DFT formation energy	-29	meV per atom
density of states at the Fermi level	1.13	states/eV per atom
raw total energy	-5.253	eV/atom


Record 8
Below is a relaxed structure of Tm6IrPd5, with properties calculated at the GGA-PBE level.

CIF file:
```
data_Tm6IrPd5
_symmetry_space_group_name_H-M 'C m m m'
_symmetry_Int_Tables_number 65
_symmetry_space_group_name_Hall '-C 2 2'
_cell_length_a 4.9076
_cell_length_b 14.6983
_cell_length_c 6.8149
_cell_angle_alpha 90.00
_cell_angle_beta 90.00
_cell_angle_gamma 90.00
loop_
_atom_site_label
_atom_site_fract_x
_atom_site_fract_y
_atom_site_fract_z
_atom_site_occupancy
Tm1 0.0000 0.0000 0.2443 1
Tm2 0.0000 0.3365 0.2475 1
Ir1 0.0000 0.5000 0.0000 1
Pd1 0.0000 0.1664 0.5000 1
Pd2 0.0000 0.1699 0.0000 1
Pd3 0.0000 0.5000 0.5000 1
```

Properties
total magnetic moment	0.0000	μB/atom
DFT formation energy	-959	meV per atom
density of states at the Fermi level	0.39	states/eV per atom
raw total energy	-6.097	eV/atom


Record 9
Below is a relaxed structure of BeCoRe2Tc, with properties calculated at the GGA-PBE level.

CIF file:
```
data_BeCoRe2Tc
_symmetry_space_group_name_H-M 'P 4/m m m'
_symmetry_Int_Tables_number 123
_symmetry_space_group_name_Hall '-P 4 2'
_cell_length_a 4.0890
_cell_length_b 4.0890
_cell_length_c 4.0348
_cell_angle_alpha 90.00
_cell_angle_beta 90.00
_cell_angle_gamma 90.00
loop_
_atom_site_label
_atom_site_fract_x
_atom_site_fract_y
_atom_site_fract_z
_atom_site_occupancy
Be1 0.0000 0.0000 0.0000 1
Co1 0.5000 0.5000 0.5000 1
Re1 0.0000 0.5000 0.0000 1
Tc1 0.0000 0.0000 0.5000 1
```

Properties
total magnetic moment	0.0002	μB/atom
DFT formation energy	830	meV per atom
ΔE to the lowest computed polymorph	0.000	eV/atom
density of states at the Fermi level	0.81	states/eV per atom
raw total energy	-8.389	eV/atom


Record 10
Below is a relaxed structure of Sb2HRuI, with properties calculated at the GGA-PBE level.

CIF file:
```
data_Sb2HRuI
_symmetry_space_group_name_H-M 'P 4/m m m'
_symmetry_Int_Tables_number 123
_symmetry_space_group_name_Hall '-P 4 2'
_cell_length_a 5.8375
_cell_length_b 5.8375
_cell_length_c 3.4947
_cell_angle_alpha 90.00
_cell_angle_beta 90.00
_cell_angle_gamma 90.00
loop_
_atom_site_label
_atom_site_fract_x
_atom_site_fract_y
_atom_site_fract_z
_atom_site_occupancy
Sb1 0.0000 0.5000 0.0000 1
H1 0.0000 0.0000 0.5000 1
Ru1 0.5000 0.5000 0.5000 1
I1 0.0000 0.0000 0.0000 1
```

Properties
total magnetic moment	0.3787	μB/atom
ΔE to the lowest computed polymorph	0.431	eV/atom
density of states at the Fermi level	0.93	states/eV per atom
raw total energy	-3.290	eV/atom


Record 11
Below is a relaxed structure of Sr2SbIr2, with properties calculated at the GGA-PBE level.

CIF file:
```
data_Sr2SbIr2
_symmetry_space_group_name_H-M 'P 4/m b m'
_symmetry_Int_Tables_number 127
_symmetry_space_group_name_Hall '-P 4 2ab'
_cell_length_a 7.1454
_cell_length_b 7.1454
_cell_length_c 4.8110
_cell_angle_alpha 90.00
_cell_angle_beta 90.00
_cell_angle_gamma 90.00
loop_
_atom_site_label
_atom_site_fract_x
_atom_site_fract_y
_atom_site_fract_z
_atom_site_occupancy
Sr1 0.1773 0.3227 0.0000 1
Sb1 0.0000 0.0000 0.5000 1
Ir1 0.1241 0.6241 0.5000 1
```

Properties
total magnetic moment	0.1332	μB/atom
density of states at the Fermi level	0.66	states/eV per atom
raw total energy	-5.333	eV/atom


Record 12
Below is a relaxed structure of La6Nd12Al, with properties calculated at the GGA-PBE level.

CIF file:
```
data_La6Nd12Al
_symmetry_space_group_name_H-M 'R -3'
_symmetry_Int_Tables_number 148
_symmetry_space_group_name_Hall '-R 3'
_cell_length_a 12.3057
_cell_length_b 12.3057
_cell_length_c 15.0925
_cell_angle_alpha 90.00
_cell_angle_beta 90.00
_cell_angle_gamma 120.00
loop_
_atom_site_label
_atom_site_fract_x
_atom_site_fract_y
_atom_site_fract_z
_atom_site_occupancy
La1 0.0275 0.5996 0.1912 1
Nd1 0.0261 0.8494 0.3136 1
Nd2 0.0604 0.2020 0.9148 1
Al1 0.0000 0.0000 0.5000 1
```

Properties
total magnetic moment	0.0000	μB/atom
DFT formation energy	63	meV per atom
density of states at the Fermi level	1.60	states/eV per atom
raw total energy	-4.702	eV/atom